P:
# RbTi2S2 | Alexandria | PBE | relaxed
data_RbTi2S2
_space_group_name_H-M_alt 'I 4/m m m'
_space_group_IT_number 139
_space_group_name_Hall '-I 4 2'
_cell_length_a 4.8320
_cell_length_b 4.8320
_cell_length_c 9.3236
_cell_angle_alpha 90.00
_cell_angle_beta 90.00
_cell_angle_gamma 90.00
loop_
_atom_site_label
_atom_site_type_symbol
_atom_site_fract_x
_atom_site_fract_y
_atom_site_fract_z
Rb1 Rb 0.0000 0.0000 0.0000
Ti1 Ti 0.0000 0.0000 0.3484
S1 S 0.0000 0.5000 0.2500
# Density, kg/m3: 3743
# Calculated volume, Å³/atom: 21.8

Q:
# RbTi2S2 | Alexandria | PBE | relaxed
data_RbTi2S2
_space_group_name_H-M_alt 'P 4/m b m'
_space_group_IT_number 127
_space_group_name_Hall '-P 4 2ab'
_cell_length_a 7.9112
_cell_length_b 7.9112
_cell_length_c 3.2182
_cell_angle_alpha 90.00
_cell_angle_beta 90.00
_cell_angle_gamma 90.00
loop_
_atom_site_label
_atom_site_type_symbol
_atom_site_fract_x
_atom_site_fract_y
_atom_site_fract_z
Rb1 Rb 0.0000 0.0000 0.0000
Ti1 Ti 0.1066 0.3934 0.0000
S1 S 0.1455 0.6455 0.5000
# Density, kg/m3: 4045
# Calculated volume, Å³/atom: 20.1

According to the calculations, the structures order from most to least stable as P, Q.

P:
# RbTlS3 | Alexandria | PBE | relaxed
data_RbTlS3
_space_group_name_H-M_alt 'P m -3 m'
_space_group_IT_number 221
_space_group_name_Hall '-P 4 2 3'
_cell_length_a 5.3065
_cell_length_b 5.3065
_cell_length_c 5.3065
_cell_angle_alpha 90.00
_cell_angle_beta 90.00
_cell_angle_gamma 90.00
loop_
_atom_site_label
_atom_site_type_symbol
_atom_site_fract_x
_atom_site_fract_y
_atom_site_fract_z
Rb1 Rb 0.0000 0.0000 0.0000
Tl1 Tl 0.5000 0.5000 0.5000
S1 S 0.0000 0.5000 0.5000
# Density, kg/m3: 4290
# Calculated volume, Å³/atom: 29.9

Q:
# RbTlS3 | Alexandria | PBE | relaxed
data_RbTlS3
_space_group_name_H-M_alt 'P 1 21 1'
_space_group_IT_number 4
_space_group_name_Hall 'P 2yb'
_cell_length_a 5.3828
_cell_length_b 7.3477
_cell_length_c 8.6416
_cell_angle_alpha 90.00
_cell_angle_beta 99.48
_cell_angle_gamma 90.00
loop_
_atom_site_label
_atom_site_type_symbol
_atom_site_fract_x
_atom_site_fract_y
_atom_site_fract_z
Rb1 Rb 0.2073 0.0000 0.3661
Tl1 Tl 0.4751 0.0726 0.8837
S1 S 0.0829 0.8835 0.7396
S2 S 0.2306 0.5380 0.3366
S3 S 0.3516 0.4111 0.8614
# Density, kg/m3: 3803
# Calculated volume, Å³/atom: 33.7

R:
# RbTlS3 | Alexandria | PBE | relaxed
data_RbTlS3
_space_group_name_H-M_alt 'P m -3 m'
_space_group_IT_number 221
_space_group_name_Hall '-P 4 2 3'
_cell_length_a 5.9779
_cell_length_b 5.9779
_cell_length_c 5.9779
_cell_angle_alpha 90.00
_cell_angle_beta 90.00
_cell_angle_gamma 90.00
loop_
_atom_site_label
_atom_site_type_symbol
_atom_site_fract_x
_atom_site_fract_y
_atom_site_fract_z
Rb1 Rb 0.0000 0.0000 0.0000
Tl1 Tl 0.5000 0.5000 0.5000
S1 S 0.0000 0.0000 0.5000
# Density, kg/m3: 3001
# Calculated volume, Å³/atom: 42.7

According to the calculations, the structures order from most to least stable as Q, P, R.

P:
# RbTlS | Alexandria | PBE | relaxed
data_RbTlS
_space_group_name_H-M_alt 'F m m m'
_space_group_IT_number 69
_space_group_name_Hall '-F 2 2'
_cell_length_a 8.8581
_cell_length_b 10.4718
_cell_length_c 11.7344
_cell_angle_alpha 90.00
_cell_angle_beta 90.00
_cell_angle_gamma 90.00
loop_
_atom_site_label
_atom_site_type_symbol
_atom_site_fract_x
_atom_site_fract_y
_atom_site_fract_z
Rb1 Rb 0.0000 0.1923 0.0000
Tl1 Tl 0.0000 0.0000 0.3272
S1 S 0.2111 0.0000 0.5000
# Density, kg/m3: 3929
# Calculated volume, Å³/atom: 45.4

Q:
# RbTlS | Alexandria | PBE | relaxed
data_RbTlS
_space_group_name_H-M_alt 'I 4 m m'
_space_group_IT_number 107
_space_group_name_Hall 'I 4 -2'
_cell_length_a 4.9361
_cell_length_b 4.9361
_cell_length_c 9.3787
_cell_angle_alpha 90.00
_cell_angle_beta 90.00
_cell_angle_gamma 90.00
loop_
_atom_site_label
_atom_site_type_symbol
_atom_site_fract_x
_atom_site_fract_y
_atom_site_fract_z
Rb1 Rb 0.0000 0.0000 0.0000
Tl1 Tl 0.0000 0.0000 0.6434
S1 S 0.0000 0.0000 0.3654
# Density, kg/m3: 4679
# Calculated volume, Å³/atom: 38.1

According to the calculations, the structures order from most to least stable as P, Q.

P:
# RbTlS | Alexandria | PBE | relaxed
data_RbTlS
_space_group_name_H-M_alt 'F -4 3 m'
_space_group_IT_number 216
_space_group_name_Hall 'F -4 2 3'
_cell_length_a 7.6181
_cell_length_b 7.6181
_cell_length_c 7.6181
_cell_angle_alpha 90.00
_cell_angle_beta 90.00
_cell_angle_gamma 90.00
loop_
_atom_site_label
_atom_site_type_symbol
_atom_site_fract_x
_atom_site_fract_y
_atom_site_fract_z
Rb1 Rb 0.0000 0.0000 0.0000
Tl1 Tl 0.0000 0.0000 0.5000
S1 S 0.2500 0.2500 0.2500
# Density, kg/m3: 4836
# Calculated volume, Å³/atom: 36.8

Q:
# RbTlS | Alexandria | PBE | relaxed
data_RbTlS
_space_group_name_H-M_alt 'P 3 m 1'
_space_group_IT_number 156
_space_group_name_Hall 'P 3 -2"'
_cell_length_a 4.4235
_cell_length_b 4.4235
_cell_length_c 6.3577
_cell_angle_alpha 90.00
_cell_angle_beta 90.00
_cell_angle_gamma 120.00
loop_
_atom_site_label
_atom_site_type_symbol
_atom_site_fract_x
_atom_site_fract_y
_atom_site_fract_z
Rb1 Rb 0.0000 0.0000 0.0000
Tl1 Tl 0.3333 0.6667 0.5288
S1 S 0.6667 0.3333 0.3070
# Density, kg/m3: 4962
# Calculated volume, Å³/atom: 35.9

According to the calculations, the structures order from most to least stable as Q, P.